Entry 1:
VASP calculation (PBE) on KAs2W after structural relaxation.

Values from the calculation:
- DFT formation energy (kJ/mol of atoms) = 75.9
- distance to the lowest polymorph of the same formula (meV per atom) = 877.4
- space group = Cmmm (65)

Cell: 5.3501 5.3501 2.7878 Å, 90.00 90.00 90.08°
Closest atoms and distances in Å follow each position.
Sites, in units of the cell vectors:
1 K 0.0000 0.0000 0.0000  2 K 2.79, 8 As 3.02
2 As 0.0000 0.5000 0.5000  2 As 2.79, 4 W 3.02, 4 K 3.02
3 As 0.5000 0.0000 0.5000  2 As 2.79, 4 W 3.02, 4 K 3.02
4 W 0.5000 0.5000 0.0000  2 W 2.79, 8 As 3.02

Entry 2:
VASP calculation (PBE) on La2Tb3NdHo6 after structural relaxation.

Values from the calculation:
- DFT formation energy (kJ/mol of atoms) = 1.9
- space group = C2/m (12)

Cell: 6.2193 6.2193 11.8200 Å, 95.02 95.02 119.99°
Closest atoms and distances in Å follow each position.
Sites, in units of the cell vectors:
1 La 0.1669 0.8331 0.0000  3 Nd 3.59, 3 La 3.59, 6 Ho 3.61-3.62
2 La 0.8331 0.1669 0.0000  3 Nd 3.59, 3 La 3.59, 6 Ho 3.61-3.62
3 Tb 0.0000 0.0000 0.5000  6 Ho 3.53, 6 Tb 3.59
4 Tb 0.3336 0.6664 0.5000  6 Ho 3.53, 6 Tb 3.59
5 Tb 0.6664 0.3336 0.5000  6 Ho 3.53, 6 Tb 3.59
6 Nd 0.5000 0.5000 0.0000  6 La 3.59, 6 Ho 3.61-3.62
7 Ho 0.0817 0.4147 0.7455  3 Tb 3.53, 6 Ho 3.59, 2 La 3.61-3.62, 1 Nd 3.62
8 Ho 0.2524 0.2524 0.2544  3 Tb 3.53, 6 Ho 3.59, 1 Nd 3.61, 2 La 3.62
9 Ho 0.4147 0.0817 0.7455  3 Tb 3.53, 6 Ho 3.59, 2 La 3.61-3.62, 1 Nd 3.62
10 Ho 0.5853 0.9183 0.2545  3 Tb 3.53, 6 Ho 3.59, 2 La 3.61-3.62, 1 Nd 3.62
11 Ho 0.7476 0.7476 0.7456  3 Tb 3.53, 6 Ho 3.59, 1 Nd 3.61, 2 La 3.62
12 Ho 0.9183 0.5853 0.2545  3 Tb 3.53, 6 Ho 3.59, 2 La 3.61-3.62, 1 Nd 3.62

The lowest DFT formation energy belongs to which entry?
La2Tb3NdHo6

Which of these has the highest DFT formation energy?
KAs2W